[1]
This record from Alexandria describes crystalline Li2YSnGe at its relaxed geometry. The functional is PBE.

Geometry as CIF:
```
data_Li2YSnGe
_chemical_formula_sum 'Li2 Y1 Sn1 Ge1'
_cell_length_a 5.419
_cell_length_b 5.419
_cell_length_c 5.661
_cell_angle_alpha 90.00
_cell_angle_beta 90.00
_cell_angle_gamma 90.00
_space_group_name_H-M_alt 'P 4/m m m'
_space_group_IT_number 123
_space_group_name_Hall '-P 4 2'
loop_
_atom_site_label
_atom_site_type_symbol
_atom_site_fract_x
_atom_site_fract_y
_atom_site_fract_z
Li1 Li 0.000 0.500 0.000
Y1 Y 0.000 0.000 0.000
Sn1 Sn 0.000 0.000 0.500
Ge1 Ge 0.500 0.500 0.500
```

Output
The value obtained for the density is 2.9 Mg/m³. The density of states at the Fermi level is 4.07 states/eV/f.u. As for the total moment: 0.00 μB/cell. Its energy of formation is 0.950 eV/atom. The volume comes out at 33.3 Å³/atom.

=====

[2]
This record from Alexandria describes crystalline SrLi2Ge6 at its relaxed geometry. The functional is PBE.

Geometry as CIF:
```
data_SrLi2Ge6
_chemical_formula_sum 'Sr1 Li2 Ge6'
_cell_length_a 7.6778
_cell_length_b 7.6778
_cell_length_c 4.0740
_cell_angle_alpha 90.00
_cell_angle_beta 90.00
_cell_angle_gamma 120.00
_space_group_name_H-M_alt 'P 6/m m m'
_space_group_IT_number 191
_space_group_name_Hall '-P 6 2'
loop_
_atom_site_label
_atom_site_type_symbol
_atom_site_fract_x
_atom_site_fract_y
_atom_site_fract_z
Sr1 Sr 0.0000 0.0000 0.0000
Li1 Li 0.3333 0.6667 0.0000
Ge1 Ge 0.0000 0.3397 0.5000
```

Output
The value obtained for the density is 4.3 Mg/m³. The density of states at the Fermi level is 3.14 states/eV/f.u. As for the total moment: 0.00 μB/cell. Its energy of formation is -0.056 eV/atom. The volume comes out at 23.1 Å³/atom.

=====

[3]
This record from Alexandria describes crystalline SrLi6Ge4 at its relaxed geometry. The functional is PBE.

Geometry as CIF:
```
data_SrLi6Ge4
_chemical_formula_sum 'Sr2 Li12 Ge8'
_cell_length_a 6.910
_cell_length_b 6.910
_cell_length_c 9.573
_cell_angle_alpha 90.00
_cell_angle_beta 90.00
_cell_angle_gamma 90.00
_space_group_name_H-M_alt 'I -4 2 m'
_space_group_IT_number 121
_space_group_name_Hall 'I -4 2'
loop_
_atom_site_label
_atom_site_type_symbol
_atom_site_fract_x
_atom_site_fract_y
_atom_site_fract_z
Sr1 Sr 0.000 0.000 0.000
Li1 Li 0.000 0.500 0.000
Li2 Li 0.189 0.189 0.701
Ge1 Ge 0.168 0.168 0.428
```

Output
The value obtained for the density is 3.1 Mg/m³. The density of states at the Fermi level is 6.14 states/eV/f.u. As for the total moment: 0.00 μB/cell. Its energy of formation is -0.243 eV/atom. The volume comes out at 20.8 Å³/atom.